# 1
Compound: Cu4BiSe4I
Source: the Open Quantum Materials Database
Functional: GGA-PBE
Structure: relaxed

Structure (extended XYZ):
```
40
Lattice="9.709 0.000 0.000 0.000 4.123 0.000 0.000 0.000 23.084" Properties=species:S:1:pos:R:3 pbc="T T T"
Cu 0.194 1.031 5.504
Cu 0.376 1.031 22.387
Cu 1.415 1.031 18.336
Cu 1.446 1.031 9.332
Cu 3.408 3.092 20.874
Cu 3.440 3.092 6.794
Cu 4.478 3.092 10.845
Cu 4.661 3.092 17.047
Cu 5.048 1.031 6.038
Cu 5.231 1.031 12.239
Cu 6.269 1.031 16.290
Cu 6.301 1.031 2.210
Cu 8.263 3.092 13.753
Cu 8.294 3.092 4.748
Cu 9.333 3.092 0.697
Cu 9.515 3.092 17.580
Bi 2.136 1.031 14.411
Bi 2.719 3.092 2.869
Bi 6.990 1.031 20.216
Bi 7.573 3.092 8.674
Se 0.385 3.092 15.221
Se 0.414 1.031 1.813
Se 1.382 3.092 19.510
Se 1.542 3.092 5.314
Se 3.312 1.031 16.856
Se 3.472 1.031 7.968
Se 4.441 3.092 13.356
Se 4.470 1.031 3.679
Se 5.239 3.092 19.405
Se 5.268 1.031 9.729
Se 6.237 3.092 15.116
Se 6.397 3.092 6.228
Se 8.167 1.031 17.770
Se 8.327 1.031 3.574
Se 9.295 3.092 21.271
Se 9.324 1.031 7.863
I 1.791 3.092 10.952
I 3.064 1.031 22.494
I 6.645 3.092 0.590
I 7.918 1.031 12.132
```

Properties
Total DFT energy (no corrections): -144.98 eV for the cell shown
Theoretical density: 6511 kg/m3

# 2
Compound: LaCuBiIr
Source: the Open Quantum Materials Database
Functional: GGA-PBE
Structure: relaxed

Structure (extended XYZ):
```
4
Lattice="0.000 3.490 3.490 3.490 0.000 3.490 3.490 3.490 0.000" Properties=species:S:1:pos:R:3 pbc="T T T"
La 0.000 0.000 0.000
Cu 5.236 5.236 5.236
Bi 1.745 1.745 1.745
Ir 3.490 3.490 3.490
```

Properties
Total DFT energy (no corrections): -21.81 eV for the cell shown
Theoretical density: 11787 kg/m3

# 3
Compound: LaCuBiIr
Source: the Open Quantum Materials Database
Functional: GGA-PBE
Structure: relaxed

Structure (extended XYZ):
```
4
Lattice="0.000 3.506 3.506 3.506 0.000 3.506 3.506 3.506 0.000" Properties=species:S:1:pos:R:3 pbc="T T T"
La 0.000 0.000 0.000
Cu 5.259 5.259 5.259
Bi 3.506 3.506 3.506
Ir 1.753 1.753 1.753
```

Properties
Total DFT energy (no corrections): -22.44 eV for the cell shown
Theoretical density: 11629 kg/m3

# 4
Compound: LaCuBiIr
Source: the Open Quantum Materials Database
Functional: GGA-PBE
Structure: relaxed

Structure (extended XYZ):
```
4
Lattice="0.000 3.540 3.540 3.540 0.000 3.540 3.540 3.540 0.000" Properties=species:S:1:pos:R:3 pbc="T T T"
La 0.000 0.000 0.000
Cu 3.540 3.540 3.540
Bi 5.310 5.310 5.310
Ir 1.770 1.770 1.770
```

Properties
Total DFT energy (no corrections): -21.22 eV for the cell shown
Theoretical density: 11296 kg/m3

# 5
Compound: CuBiMoIr
Source: the Open Quantum Materials Database
Functional: GGA-PBE
Structure: relaxed

Structure (extended XYZ):
```
4
Lattice="0.000 3.244 3.244 3.244 0.000 3.244 3.244 3.244 0.000" Properties=species:S:1:pos:R:3 pbc="T T T"
Cu 0.000 0.000 0.000
Bi 4.866 4.866 4.866
Mo 3.244 3.244 3.244
Ir 1.622 1.622 1.622
```

Properties
Total DFT energy (no corrections): -25.42 eV for the cell shown
Theoretical density: 13633 kg/m3

# 6
Compound: NbCuBiIr
Source: the Open Quantum Materials Database
Functional: GGA-PBE
Structure: relaxed

Structure (extended XYZ):
```
4
Lattice="0.000 3.300 3.300 3.300 0.000 3.300 3.300 3.300 0.000" Properties=species:S:1:pos:R:3 pbc="T T T"
Nb 0.000 0.000 0.000
Cu 4.950 4.950 4.950
Bi 3.300 3.300 3.300
Ir 1.650 1.650 1.650
```

Properties
Total DFT energy (no corrections): -25.72 eV for the cell shown
Theoretical density: 12880 kg/m3

- Among the records above, which one has the lowest total DFT energy (no corrections)?
  Cu4BiSe4I